## HoSc2Mo (PBE)

Data for HoSc2Mo after structural relaxation.

Output
Energy (Ry per atom): -0.505
Relative energy among the computed polymorphs (eV/f.u.): 0.00

Unit cell a=3.4626 b=3.4626 c=7.6129 alpha=90.00 beta=90.00 gamma=90.00
With the nearest neighbours (Å) after each atom.
Space group P4/mmm (No. 123)
Inequivalent atoms, fractional coordinates:
Ho 0.0000 0.0000 0.0000  8 Sc 3.37, 4 Ho 3.46
Sc 0.5000 0.5000 0.3045  4 Mo 2.87, 1 Sc 2.98
Mo 0.0000 0.0000 0.5000  8 Sc 2.87